Below is a geometry-optimized SmDy3Au2 structure, with properties calculated at the PBE-GGA level.

Lattice parameters (Å, degrees): 4.989 8.989 7.161 90.00 90.00 90.00
Element x y z (fractional)
Sm (0.000, 0.074, 0.000)
Sm (0.000, 0.926, 0.500)
Dy (0.000, 0.332, 0.638)
Dy (0.000, 0.668, 0.138)
Dy (0.500, 0.169, 0.338)
Dy (0.500, 0.428, 0.976)
Dy (0.500, 0.572, 0.476)
Dy (0.500, 0.831, 0.838)
Au (0.000, 0.351, 0.234)
Au (0.000, 0.649, 0.734)
Au (0.500, 0.155, 0.744)
Au (0.500, 0.845, 0.244)

Output
As for the energy above the lowest structure with this stoichiometry: 0.0000 eV/atom. Its formation energy is -0.623 eV/atom.